Record 1
A geometry-optimized Ac4Hg5Ge6 structure. Source: the Alexandria database, functional PBE.

Computed properties:
Energy of formation from the pure elements = -0.44 eV per atom
Calculated volume = 813 Å³ per cell
Total DFT energy (no corrections) = -3.487 eV/atom
Space group = Cmc2_1 (36)

The structure in CIF format:
```
data_Ac4Hg5Ge6
_chemical_formula_sum 'Ac8 Hg10 Ge12'
_cell_length_a 10.571
_cell_length_b 10.571
_cell_length_c 16.891
_cell_angle_alpha 90.00
_cell_angle_beta 90.00
_cell_angle_gamma 154.50
_space_group_name_H-M_alt 'P 1'
_space_group_IT_number 1
_space_group_name_Hall 'P 1'
loop_
_atom_site_label
_atom_site_type_symbol
_atom_site_fract_x
_atom_site_fract_y
_atom_site_fract_z
Ac1 Ac 0.021 0.979 0.500
Ac2 Ac 0.037 0.963 0.763
Ac3 Ac 0.165 0.835 0.296
Ac4 Ac 0.177 0.823 0.947
Ac5 Ac 0.823 0.177 0.447
Ac6 Ac 0.835 0.165 0.796
Ac7 Ac 0.963 0.037 0.263
Ac8 Ac 0.979 0.021 0.000
Hg1 Hg 0.154 0.846 0.625
Hg2 Hg 0.301 0.699 0.619
Hg3 Hg 0.341 0.659 0.283
Hg4 Hg 0.350 0.650 0.968
Hg5 Hg 0.443 0.557 0.676
Hg6 Hg 0.557 0.443 0.176
Hg7 Hg 0.650 0.350 0.468
Hg8 Hg 0.659 0.341 0.783
Hg9 Hg 0.699 0.301 0.119
Hg10 Hg 0.846 0.154 0.125
Ge1 Ge 0.109 0.891 0.114
Ge2 Ge 0.221 0.779 0.480
Ge3 Ge 0.230 0.770 0.765
Ge4 Ge 0.427 0.573 0.127
Ge5 Ge 0.435 0.565 0.409
Ge6 Ge 0.447 0.553 0.852
Ge7 Ge 0.553 0.447 0.352
Ge8 Ge 0.565 0.435 0.909
Ge9 Ge 0.573 0.427 0.627
Ge10 Ge 0.770 0.230 0.265
Ge11 Ge 0.779 0.221 0.980
Ge12 Ge 0.891 0.109 0.614
```


Record 2
A geometry-optimized VReTeN2 structure. Source: the Alexandria database, functional PBE.

Computed properties:
Uncorrected formation energy = 1.1643 eV per atom
Calculated volume = 83 Å³ per cell
E above lowest polymorph = 549 meV/atom
Total DFT energy (no corrections) = -7.108 eV/atom
Space group = P4/mmm (123)

The structure in CIF format:
```
data_VReTeN2
_chemical_formula_sum 'V1 Re1 Te1 N2'
_cell_length_a 3.840
_cell_length_b 3.840
_cell_length_c 5.621
_cell_angle_alpha 90.00
_cell_angle_beta 90.00
_cell_angle_gamma 90.00
_space_group_name_H-M_alt 'P 1'
_space_group_IT_number 1
_space_group_name_Hall 'P 1'
loop_
_atom_site_label
_atom_site_type_symbol
_atom_site_fract_x
_atom_site_fract_y
_atom_site_fract_z
V1 V 0.000 0.000 0.000
Re1 Re 0.500 0.500 0.500
Te1 Te 0.000 0.000 0.500
N1 N 0.000 0.500 0.000
N2 N 0.500 0.000 0.000
```